1.
Here is crystalline CsAlOF2 at its relaxed geometry from Alexandria. Energies are from PBE-GGA.

a = 5.217 Å, b = 4.462 Å, c = 5.217 Å
α = 90.00°, β = 90.00°, γ = 90.00°
Atoms (fractional coordinates):
Cs 0.000 0.000 0.000
Al 0.500 0.500 0.500
O 0.000 0.500 0.000
F 0.000 0.000 0.500
F 0.500 0.000 0.000

Properties
excess energy over the best structure of this formula in the dataset = 2.1145 eV per atom
calculated volume = 121.4 Å³ per cell
spin magnetization = 0.72 μB per cell

2.
Here is crystalline CsAlO2F at its relaxed geometry from Alexandria. Energies are from PBE-GGA.

a = 3.819 Å, b = 3.819 Å, c = 4.869 Å
α = 90.00°, β = 90.00°, γ = 90.00°
Atoms (fractional coordinates):
Cs 0.500 0.500 0.500
Al 0.000 0.000 0.000
O 0.000 0.500 0.000
O 0.500 0.000 0.000
F 0.000 0.000 0.500

Properties
electronic total energy = -5.306 eV per atom
calculated volume = 71.0 Å³ per cell
spin magnetization = 1.00 μB per cell

3.
Here is crystalline Cs2AlPF6 at its relaxed geometry from Alexandria. Energies are from PBE-GGA.

a = 7.022 Å, b = 7.022 Å, c = 6.328 Å
α = 56.30°, β = 56.30°, γ = 90.00°
Atoms (fractional coordinates):
Cs 0.750 0.250 0.500
Cs 0.250 0.750 0.500
P 0.000 0.000 0.000
Al 0.500 0.500 0.000
F 0.247 0.247 0.506
F 0.753 0.753 0.494
F 0.319 0.319 0.000
F 0.681 0.681 0.000
F 0.681 0.319 0.000
F 0.319 0.681 0.000

Properties
electronic total energy = -4.794 eV per atom
calculated volume = 193.5 Å³ per cell
spin magnetization = 2.00 μB per cell

4.
Here is crystalline Cs2AlPbF6 at its relaxed geometry from Alexandria. Energies are from PBE-GGA.

a = 6.143 Å, b = 6.143 Å, c = 6.972 Å
α = 63.86°, β = 63.86°, γ = 90.00°
Atoms (fractional coordinates):
Pb 0.000 0.000 0.000
Cs 0.750 0.250 0.500
Cs 0.250 0.750 0.500
Al 0.500 0.500 0.000
F 0.333 0.333 0.333
F 0.667 0.667 0.667
F 0.286 0.286 0.000
F 0.714 0.714 0.000
F 0.714 0.286 0.000
F 0.286 0.714 0.000

Properties
electronic total energy = -4.850 eV per atom
calculated volume = 205.8 Å³ per cell
spin magnetization = 1.00 μB per cell

5.
Here is crystalline CsAlPb2F8 at its relaxed geometry from Alexandria. Energies are from PBE-GGA.

a = 5.508 Å, b = 5.494 Å, c = 7.583 Å
α = 69.15°, β = 94.02°, γ = 97.86°
Atoms (fractional coordinates):
Cs 0.000 0.000 0.500
Al 0.000 0.000 0.000
Pb 0.529 0.381 0.779
Pb 0.471 0.619 0.221
F 0.044 0.711 0.216
F 0.788 0.788 0.905
F 0.737 0.060 0.108
F 0.956 0.289 0.784
F 0.212 0.212 0.095
F 0.263 0.940 0.892
F 0.472 0.740 0.484
F 0.528 0.260 0.516

Properties
electronic total energy = -5.086 eV per atom
calculated volume = 212.3 Å³ per cell
spin magnetization = 0.00 μB per cell

6.
Here is crystalline CsAl2PbF8 at its relaxed geometry from Alexandria. Energies are from PBE-GGA.

a = 5.244 Å, b = 5.244 Å, c = 10.798 Å
α = 75.95°, β = 75.95°, γ = 60.00°
Atoms (fractional coordinates):
Cs 0.500 0.500 0.500
Al 0.250 0.250 0.251
Al 0.750 0.750 0.749
Pb 0.000 0.000 0.000
F 0.194 0.194 0.417
F 0.584 0.248 0.205
F 0.806 0.806 0.583
F 0.963 0.584 0.205
F 0.037 0.416 0.795
F 0.248 0.963 0.205
F 0.752 0.037 0.795
F 0.416 0.752 0.795

Properties
electronic total energy = -5.223 eV per atom
calculated volume = 246.9 Å³ per cell
spin magnetization = 0.70 μB per cell